No. 1
The following is a SCAN calculation of SrAlTe2I at its PBEsol-relaxed geometry, from Alexandria.

Summary:
The total energy is -28.272 eV per atom. The raw formation energy comes out at -0.02 eV/atom.

Cell and atoms, written as POSCAR:
```
SrAlTe2I
1.0
6.0606 0.0000 0.0000
0.0000 6.0606 0.0000
0.0000 0.0000 6.1828
Sr Al Te I
1 1 2 1
Cartesian
0.0000 0.0000 0.0000
3.0303 3.0303 3.0914
0.0000 3.0303 0.0000
3.0303 0.0000 0.0000
0.0000 0.0000 3.0914
```


No. 2
The following is a SCAN calculation of AlTc3I at its PBEsol-relaxed geometry, from Alexandria.

Summary:
The total energy is -27.932 eV per atom. The raw formation energy comes out at 2.00 eV/atom.

Cell and atoms, written as POSCAR:
```
AlTc3I
1.0
4.7168 0.0000 0.0000
0.0000 4.7168 0.0000
0.0000 0.0000 4.7168
Al Tc I
1 3 1
Cartesian
0.0000 0.0000 0.0000
0.0000 2.3584 2.3584
2.3584 0.0000 2.3584
2.3584 2.3584 0.0000
2.3584 2.3584 2.3584
```


No. 3
The following is a SCAN calculation of AlTeI2 at its PBEsol-relaxed geometry, from Alexandria.

Summary:
The total energy is -29.570 eV per atom. The raw formation energy comes out at 0.05 eV/atom.

Cell and atoms, written as POSCAR:
```
AlTeI2
1.0
-5.1517 5.1517 2.6858
5.1517 -5.1517 2.6858
5.1517 5.1517 -2.6858
Al Te I
2 2 4
Cartesian
0.0000 0.0000 0.0000
0.0000 5.1517 1.3429
5.1517 0.0000 1.3429
0.0000 0.0000 2.6858
-1.0503 2.5758 0.6714
2.5758 4.1014 2.0143
1.0503 7.7275 0.6714
-2.5758 6.2020 2.0143
```


No. 4
The following is a SCAN calculation of Al3Te3I at its PBEsol-relaxed geometry, from Alexandria.

Summary:
The total energy is -25.050 eV per atom. The raw formation energy comes out at -0.51 eV/atom.

Cell and atoms, written as POSCAR:
```
Al3Te3I
1.0
11.2462 0.0000 0.0000
0.0000 4.0907 0.0000
0.0000 0.0000 19.7633
Al Te I
12 12 4
Cartesian
0.4888 1.0227 2.0030
1.8377 1.0227 19.5961
1.9061 1.0227 12.4934
3.7170 3.0680 2.6117
3.7854 3.0680 9.7144
5.1343 3.0680 11.8847
6.1119 1.0227 7.8786
7.4608 1.0227 10.0488
7.5292 1.0227 17.1515
9.3401 3.0680 7.2699
9.4085 3.0680 0.1672
10.7574 3.0680 17.7602
1.0820 1.0227 17.0415
2.0338 1.0227 9.8541
2.4906 1.0227 3.7905
3.1325 3.0680 13.6721
3.5893 3.0680 19.7357
4.5411 3.0680 7.1598
6.7051 1.0227 12.6035
7.6569 1.0227 0.0276
8.1137 1.0227 6.0912
8.7555 3.0680 15.9728
9.2124 3.0680 9.9092
10.1642 3.0680 2.7218
0.5141 3.0680 6.5630
5.1090 1.0227 16.4446
6.1371 3.0680 3.3186
10.7321 1.0227 13.2003
```


No. 5
The following is a SCAN calculation of AlTeI7 at its PBEsol-relaxed geometry, from Alexandria.

Summary:
The total energy is -33.956 eV per atom. The raw formation energy comes out at -0.38 eV/atom.

Cell and atoms, written as POSCAR:
```
AlTeI7
1.0
7.1552 0.0000 0.0000
0.0000 7.0232 0.0000
-3.5390 0.0000 16.1889
Al Te I
2 2 14
Cartesian
0.0000 0.1135 0.0000
-1.7695 6.9097 8.0945
1.3629 3.0009 2.5040
-0.4066 4.0223 10.5984
-1.8880 2.5604 12.3993
-0.1185 4.4628 4.3048
2.3892 1.0193 0.0362
0.6198 6.0039 8.1307
2.5517 1.2620 4.3086
0.7822 5.7611 12.4030
1.7890 2.3934 10.2938
3.5585 4.6298 2.1993
2.4696 1.0977 14.1241
4.2391 5.9255 6.0297
5.9768 0.9653 2.1170
4.2073 6.0579 10.2115
5.2476 2.4164 7.9551
3.4781 4.6068 16.0496
```


No. 6
The following is a SCAN calculation of Al2TeI at its PBEsol-relaxed geometry, from Alexandria.

Summary:
The total energy is -22.183 eV per atom. The raw formation energy comes out at 0.19 eV/atom.

Cell and atoms, written as POSCAR:
```
Al2TeI
1.0
-3.8615 3.8615 3.8638
3.8615 -3.8615 3.8638
3.8615 3.8615 -3.8638
Al Te I
4 2 2
Cartesian
1.9308 1.7901 -0.9660
2.0714 -1.9308 4.8298
1.9308 2.0714 2.8979
1.7901 5.7923 0.9660
0.0000 0.0000 0.0000
0.0000 3.8615 1.9319
3.8615 0.0000 1.9319
0.0000 0.0000 3.8638
```